# NiSnIr3 (PBE, optimized geometry)
# Formation enthalpy at 0 K ... 2.151 eV/atom
data_NiSnIr3
_chemical_formula_sum 'Ni1 Sn1 Ir3'
_cell_length_a 4.8392
_cell_length_b 4.8392
_cell_length_c 4.8392
_cell_angle_alpha 90.00
_cell_angle_beta 90.00
_cell_angle_gamma 90.00
_space_group_name_H-M_alt 'P m -3 m'
_space_group_IT_number 221
_space_group_name_Hall '-P 4 2 3'
loop_
_atom_site_label
_atom_site_type_symbol
_atom_site_fract_x
_atom_site_fract_y
_atom_site_fract_z
Ni1 Ni 0.0000 0.0000 0.0000
Sn1 Sn 0.5000 0.5000 0.5000
Ir1 Ir 0.0000 0.5000 0.5000

=====

# SrRuPb (PBE, optimized geometry)
# Formation enthalpy at 0 K ... 1.130 eV/atom
data_SrRuPb
_chemical_formula_sum 'Sr4 Ru4 Pb4'
_cell_length_a 7.1252
_cell_length_b 7.1252
_cell_length_c 7.1252
_cell_angle_alpha 90.00
_cell_angle_beta 90.00
_cell_angle_gamma 90.00
_space_group_name_H-M_alt 'F -4 3 m'
_space_group_IT_number 216
_space_group_name_Hall 'F -4 2 3'
loop_
_atom_site_label
_atom_site_type_symbol
_atom_site_fract_x
_atom_site_fract_y
_atom_site_fract_z
Sr1 Sr 0.0000 0.0000 0.0000
Ru1 Ru 0.2500 0.2500 0.7500
Pb1 Pb 0.2500 0.2500 0.2500

=====

# Zr4Sc9Al11 (PBE, optimized geometry)
# Formation enthalpy at 0 K ... -0.369 eV/atom
data_Zr4Sc9Al11
_chemical_formula_sum 'Zr8 Sc18 Al22'
_cell_length_a 16.5479
_cell_length_b 18.7100
_cell_length_c 3.0749
_cell_angle_alpha 90.00
_cell_angle_beta 90.00
_cell_angle_gamma 90.00
_space_group_name_H-M_alt 'C m m m'
_space_group_IT_number 65
_space_group_name_Hall '-C 2 2'
loop_
_atom_site_label
_atom_site_type_symbol
_atom_site_fract_x
_atom_site_fract_y
_atom_site_fract_z
Zr1 Zr 0.1524 0.0824 0.0000
Sc1 Sc 0.0000 0.0000 0.0000
Sc2 Sc 0.1177 0.4113 0.0000
Sc3 Sc 0.1186 0.2406 0.0000
Al1 Al 0.0000 0.1392 0.5000
Al2 Al 0.0000 0.3282 0.5000
Al3 Al 0.0000 0.5000 0.5000
Al4 Al 0.2318 0.5000 0.5000
Al5 Al 0.2420 0.3244 0.5000

=====

Number 1: volume 113.3 Å³ per cell. Number 2: volume 361.7 Å³ per cell. Number 3: volume 952.0 Å³ per cell.